This record from OQMD describes Ge2PtSe after structural relaxation. The functional is PBE.

**Calculated total energy**: -39.14 eV for the cell shown

```
Ge2PtSe
1.0
3.560 0.000 0.000
0.000 6.770 0.000
0.000 0.000 6.933
Ge Se Pt
4 2 2
Direct
0.000 0.727 0.290 Ge
0.500 0.867 0.782 Ge
0.500 0.133 0.282 Ge
0.000 0.273 0.790 Ge
0.500 0.496 0.391 Se
0.500 0.504 0.891 Se
0.000 0.998 0.036 Pt
0.000 0.002 0.536 Pt
```